The following is a DFT calculation (GGA-PBE) of a geometry-optimized Ag2Hg7P8I6 structure.

Cell and atoms, written as extended XYZ:
```
23
Lattice="8.7263 0.0023 0.0040 1.5502 8.5875 0.0040 1.4377 1.2017 8.3281" Properties=species:S:1:pos:R:3 pbc="T T T"
I 5.8570 9.2864 7.0804
I 7.4168 6.1995 4.4668
I 4.2973 3.5920 3.8693
I 1.5360 5.6746 1.2557
I 10.1781 4.1168 7.0804
I 5.8571 0.5050 1.2557
Hg 2.9914 2.5005 1.1188
Hg 7.2609 3.4037 1.9542
Hg 8.7227 7.2910 7.2174
Hg 0.0000 0.0000 0.0000
Hg 4.6377 6.5420 1.9542
Hg 7.0764 3.2495 6.3820
Hg 4.4532 6.3878 6.3820
P 1.2486 1.0436 2.1543
P 7.6129 1.3769 4.8273
P 2.7054 7.2479 4.8273
P 4.1012 8.4146 3.5088
P 10.4655 8.7478 6.1818
P 9.0087 2.5436 3.5088
P 5.8631 4.9008 0.5453
P 5.8510 4.8907 7.7908
Ag 1.4939 4.8946 4.1660
Ag 5.0820 0.6020 4.1660
```

Output
Space group   C2/m, No. 12
VASP energy   -2.75 eV per atom